# 1
This record from Alexandria via LeMat-Bulk describes a relaxed structure of Cd2CuBr. The functional is PBE.

space group	P4mm (99)
polymorph energy (0 for the lowest one)	136	meV/atom

Unit cell a=3.2847 b=3.2847 c=8.3069 alpha=90.00 beta=90.00 gamma=90.00
With the nearest neighbours (Å) after each atom.
Fractional coordinates of all 4 atoms:
Cd 0.0000 0.0000 0.0000  8 Cd 3.28-3.31, 4 Br 3.61
Cd 0.5000 0.5000 0.2842  4 Cu 2.85, 1 Br 3.18
Cu 0.0000 0.0000 0.4838  4 Br 2.78, 4 Cd 2.85
Br 0.5000 0.5000 0.6670  4 Cu 2.78

# 2
This record from Alexandria via LeMat-Bulk describes a relaxed structure of Cd2CuBr. The functional is PBE.

space group	I-42d (122)
polymorph energy (0 for the lowest one)	108	meV/atom

Unit cell a=6.4375 b=6.4375 c=6.4375 alpha=109.07 beta=109.07 gamma=110.27
With the nearest neighbours (Å) after each atom.
Fractional coordinates of all 8 atoms:
Cd 0.0877 0.6250 0.9627  2 Cu 2.62
Cd 0.3750 0.3377 0.4627  2 Cu 2.62
Cd 0.6623 0.1250 0.0373  2 Cu 2.62
Cd 0.8750 0.9123 0.5373  2 Cu 2.62
Cu 0.0000 0.0000 0.0000  4 Cd 2.62
Cu 0.7500 0.2500 0.5000  4 Cd 2.62
Br 0.2500 0.7500 0.5000  4 Cd 2.99
Br 0.5000 0.5000 0.0000  4 Cd 2.99

# 3
This record from Alexandria via LeMat-Bulk describes a relaxed structure of Cd2CuBr. The functional is PBE.

space group	Immm (71)
polymorph energy (0 for the lowest one)	128	meV/atom

Unit cell a=5.7857 b=5.7857 c=5.7857 alpha=145.34 beta=111.86 gamma=78.76
With the nearest neighbours (Å) after each atom.
Fractional coordinates of all 4 atoms:
Cd 0.2255 0.2255 0.0000  2 Cu 2.65
Cd 0.7745 0.7745 0.0000  2 Cu 2.65
Cu 0.0000 0.5000 0.5000  4 Cd 2.65
Br 0.5000 0.0000 0.5000  4 Cd 3.00

# 4
This record from Alexandria via LeMat-Bulk describes a relaxed structure of CdCuBr. The functional is PBE.

space group	F-43m (216)
polymorph energy (0 for the lowest one)	291	meV/atom

Unit cell a=4.6759 b=4.6759 c=4.6759 alpha=60.00 beta=60.00 gamma=60.00
With the nearest neighbours (Å) after each atom.
Fractional coordinates of all 3 atoms:
Cd 0.0000 0.0000 0.0000  4 Cu 2.86
Cu 0.2500 0.2500 0.2500  4 Cd 2.86, 4 Br 2.86
Br 0.5000 0.5000 0.5000  4 Cu 2.86

# 5
This record from Alexandria via LeMat-Bulk describes a relaxed structure of Cd2CuBr. The functional is PBE.

space group	P4/mmm (123)
polymorph energy (0 for the lowest one)	319	meV/atom

Unit cell a=4.4815 b=4.4815 c=4.4893 alpha=90.00 beta=90.00 gamma=90.00
With the nearest neighbours (Å) after each atom.
Fractional coordinates of all 4 atoms:
Cd 0.0000 0.5000 0.0000  4 Cd 3.17, 4 Br 3.17, 4 Cu 3.17
Cd 0.5000 0.0000 0.0000  4 Cd 3.17, 4 Br 3.17, 4 Cu 3.17
Cu 0.0000 0.0000 0.5000  4 Br 3.17, 8 Cd 3.17
Br 0.5000 0.5000 0.5000  4 Cu 3.17, 8 Cd 3.17

# 6
This record from Alexandria via LeMat-Bulk describes a relaxed structure of Cd2CuBr. The functional is PBE.

space group	Fm-3m (225)
polymorph energy (0 for the lowest one)	411	meV/atom

Unit cell a=5.1032 b=5.1032 c=5.1032 alpha=60.00 beta=60.00 gamma=60.00
With the nearest neighbours (Å) after each atom.
Fractional coordinates of all 4 atoms:
Cd 0.2500 0.2500 0.2500  4 Br 3.13, 4 Cu 3.13
Cd 0.7500 0.7500 0.7500  4 Br 3.13, 4 Cu 3.13
Cu 0.0000 0.0000 0.0000  8 Cd 3.13
Br 0.5000 0.5000 0.5000  8 Cd 3.13

# 7
This record from Alexandria via LeMat-Bulk describes a relaxed structure of Cd5Cu3Br12. The functional is PBE.

space group	Ia-3d (230)

Unit cell a=14.5567 b=14.5567 c=14.5567 alpha=109.47 beta=109.47 gamma=109.47
With the nearest neighbours (Å) after each atom.
Fractional coordinates of all 80 atoms:
Cd 0.0000 0.0000 0.0000  6 Br 2.83
Cd 0.0000 0.0000 0.5000  6 Br 2.83
Cd 0.0000 0.5000 0.0000  6 Br 2.83
Cd 0.0000 0.5000 0.5000  6 Br 2.83
Cd 0.1250 0.7500 0.8750  4 Br 2.66
Cd 0.1250 0.8750 0.2500  4 Br 2.66
Cd 0.2500 0.1250 0.8750  4 Br 2.66
Cd 0.2500 0.6250 0.3750  4 Br 2.66
Cd 0.3750 0.2500 0.6250  4 Br 2.66
Cd 0.3750 0.6250 0.7500  4 Br 2.66
Cd 0.5000 0.0000 0.0000  6 Br 2.83
Cd 0.5000 0.0000 0.5000  6 Br 2.83
Cd 0.5000 0.5000 0.0000  6 Br 2.83
Cd 0.5000 0.5000 0.5000  6 Br 2.83
Cd 0.6250 0.3750 0.2500  4 Br 2.66
Cd 0.6250 0.7500 0.3750  4 Br 2.66
Cd 0.7500 0.3750 0.6250  4 Br 2.66
Cd 0.7500 0.8750 0.1250  4 Br 2.66
Cd 0.8750 0.1250 0.7500  4 Br 2.66
Cd 0.8750 0.2500 0.1250  4 Br 2.66
Cu 0.1250 0.2500 0.3750  8 Br 3.03-3.30
Cu 0.1250 0.3750 0.7500  8 Br 3.03-3.30
Cu 0.2500 0.3750 0.1250  8 Br 3.03-3.30
Cu 0.2500 0.8750 0.6250  8 Br 3.03-3.30
Cu 0.3750 0.1250 0.2500  8 Br 3.03-3.30
Cu 0.3750 0.7500 0.1250  8 Br 3.03-3.30
Cu 0.6250 0.2500 0.8750  8 Br 3.03-3.30
Cu 0.6250 0.8750 0.7500  8 Br 3.03-3.30
Cu 0.7500 0.1250 0.3750  8 Br 3.03-3.30
Cu 0.7500 0.6250 0.8750  8 Br 3.03-3.30
Cu 0.8750 0.6250 0.2500  8 Br 3.03-3.30
Cu 0.8750 0.7500 0.6250  8 Br 3.03-3.30
Br 0.0464 0.2228 0.1224  2 Cd 2.66-2.83
Br 0.0464 0.3236 0.9240  2 Cd 2.66-2.83
Br 0.0760 0.6224 0.3996  2 Cd 2.66-2.83
Br 0.0760 0.9536 0.6764  2 Cd 2.66-2.83
Br 0.1004 0.7228 0.6764  2 Cd 2.66-2.83
Br 0.1004 0.8776 0.4240  2 Cd 2.66-2.83
Br 0.1224 0.0464 0.2228  2 Cd 2.66-2.83
Br 0.1224 0.5760 0.8996  2 Cd 2.66-2.83
Br 0.1764 0.2228 0.6004  2 Cd 2.66-2.83
Br 0.1764 0.4536 0.5760  2 Cd 2.66-2.83
Br 0.2228 0.1224 0.0464  2 Cd 2.66-2.83
Br 0.2228 0.6004 0.1764  2 Cd 2.66-2.83
Br 0.2772 0.3236 0.8996  2 Cd 2.66-2.83
Br 0.2772 0.4536 0.3776  2 Cd 2.66-2.83
Br 0.3236 0.8996 0.2772  2 Cd 2.66-2.83
Br 0.3236 0.9240 0.0464  2 Cd 2.66-2.83
Br 0.3776 0.2772 0.4536  2 Cd 2.66-2.83
Br 0.3776 0.6004 0.9240  2 Cd 2.66-2.83
Br 0.3996 0.0760 0.6224  2 Cd 2.66-2.83
Br 0.3996 0.8236 0.7772  2 Cd 2.66-2.83
Br 0.4240 0.1004 0.8776  2 Cd 2.66-2.83
Br 0.4240 0.8236 0.5464  2 Cd 2.66-2.83
Br 0.4536 0.3776 0.2772  2 Cd 2.66-2.83
Br 0.4536 0.5760 0.1764  2 Cd 2.66-2.83
Br 0.5464 0.4240 0.8236  2 Cd 2.66-2.83
Br 0.5464 0.6224 0.7228  2 Cd 2.66-2.83
Br 0.5760 0.1764 0.4536  2 Cd 2.66-2.83
Br 0.5760 0.8996 0.1224  2 Cd 2.66-2.83
Br 0.6004 0.1764 0.2228  2 Cd 2.66-2.83
Br 0.6004 0.9240 0.3776  2 Cd 2.66-2.83
Br 0.6224 0.3996 0.0760  2 Cd 2.66-2.83
Br 0.6224 0.7228 0.5464  2 Cd 2.66-2.83
Br 0.6764 0.0760 0.9536  2 Cd 2.66-2.83
Br 0.6764 0.1004 0.7228  2 Cd 2.66-2.83
Br 0.7228 0.5464 0.6224  2 Cd 2.66-2.83
Br 0.7228 0.6764 0.1004  2 Cd 2.66-2.83
Br 0.7772 0.3996 0.8236  2 Cd 2.66-2.83
Br 0.7772 0.8776 0.9536  2 Cd 2.66-2.83
Br 0.8236 0.5464 0.4240  2 Cd 2.66-2.83
Br 0.8236 0.7772 0.3996  2 Cd 2.66-2.83
Br 0.8776 0.4240 0.1004  2 Cd 2.66-2.83
Br 0.8776 0.9536 0.7772  2 Cd 2.66-2.83
Br 0.8996 0.1224 0.5760  2 Cd 2.66-2.83
Br 0.8996 0.2772 0.3236  2 Cd 2.66-2.83
Br 0.9240 0.0464 0.3236  2 Cd 2.66-2.83
Br 0.9240 0.3776 0.6004  2 Cd 2.66-2.83
Br 0.9536 0.6764 0.0760  2 Cd 2.66-2.83
Br 0.9536 0.7772 0.8776  2 Cd 2.66-2.83

# 8
This record from Alexandria via LeMat-Bulk describes a relaxed structure of Cd2CuBr. The functional is PBE.

space group	R-3m (166)
polymorph energy (0 for the lowest one)	0	meV/atom

Unit cell a=8.1142 b=8.1142 c=8.1142 alpha=26.37 beta=26.37 gamma=26.37
With the nearest neighbours (Å) after each atom.
Fractional coordinates of all 4 atoms:
Cd 0.2391 0.2391 0.2391  3 Cu 2.73
Cd 0.7609 0.7609 0.7609  3 Cu 2.73
Cu 0.5000 0.5000 0.5000  6 Cd 2.73
Br 0.0000 0.0000 0.0000  6 Cd 3.08

# 9
This record from Alexandria via LeMat-Bulk describes a relaxed structure of Cd2CuBr. The functional is PBE.

space group	Cmm2 (35)
polymorph energy (0 for the lowest one)	109	meV/atom

Unit cell a=3.4894 b=3.4894 c=8.5281 alpha=90.00 beta=90.00 gamma=116.14
With the nearest neighbours (Å) after each atom.
Fractional coordinates of all 4 atoms:
Cd 0.0000 0.0000 0.0000  2 Cd 3.02, 2 Br 3.16
Cd 0.5000 0.5000 0.2802  2 Cu 2.65
Cu 0.0000 0.0000 0.5032  2 Br 2.49, 2 Cd 2.65
Br 0.5000 0.5000 0.6987  2 Cu 2.49

# 10
This record from Alexandria via LeMat-Bulk describes a relaxed structure of Cd3CuBr. The functional is PBE.

space group	Pm-3m (221)
polymorph energy (0 for the lowest one)	807	meV/atom

Unit cell a=5.7738 b=5.7738 c=5.7738 alpha=90.00 beta=90.00 gamma=90.00
With the nearest neighbours (Å) after each atom.
Fractional coordinates of all 5 atoms:
Cd 0.0000 0.0000 0.5000  2 Br 2.89
Cd 0.0000 0.5000 0.0000  2 Br 2.89
Cd 0.5000 0.0000 0.0000  2 Br 2.89
Cu 0.5000 0.5000 0.5000  12 Cd 4.08
Br 0.0000 0.0000 0.0000  6 Cd 2.89

# 11
This record from Alexandria via LeMat-Bulk describes a relaxed structure of Cd2CuBr. The functional is PBE.

space group	I-4m2 (119)
polymorph energy (0 for the lowest one)	235	meV/atom

Unit cell a=6.6954 b=6.6954 c=6.6954 alpha=145.37 beta=145.37 gamma=49.78
With the nearest neighbours (Å) after each atom.
Fractional coordinates of all 4 atoms:
Cd 0.0000 0.0000 0.0000  4 Br 2.82
Cd 0.7500 0.2500 0.5000  4 Cu 2.82
Cu 0.2500 0.7500 0.5000  4 Cd 2.82
Br 0.5000 0.5000 0.0000  4 Cd 2.82

# 12
This record from Alexandria via LeMat-Bulk describes a relaxed structure of Cd2CuBr. The functional is PBE.

space group	P4mm (99)
polymorph energy (0 for the lowest one)	69	meV/atom

Unit cell a=3.7421 b=3.7421 c=7.8041 alpha=90.00 beta=90.00 gamma=90.00
With the nearest neighbours (Å) after each atom.
Fractional coordinates of all 4 atoms:
Cd 0.0000 0.0000 0.0000  1 Cu 2.57
Cd 0.5000 0.5000 0.3428  4 Cu 2.65
Cu 0.0000 0.0000 0.3300  5 Cd 2.57-2.65
Br 0.5000 0.5000 0.8240  4 Cd 2.98

no.,formation energy (no corrections) (eV/atom),size of the total moment (μB/cell)
1,0.0871,0.0
2,0.0596,0.0
3,0.0792,0.0
4,0.1935,0.0
5,0.2704,0.0
6,0.3624,0.0
7,-0.3910,0.0
8,-0.0486,0.0
9,0.0607,0.0
10,0.8018,0.0
11,0.1864,0.0
12,0.0201,0.0